1.
Below is a relaxed structure of KTcBr2, with properties calculated at the PBE level.

abc: 3.337 3.337 9.350
angles: 90.00 90.00 89.99
Positions (direct):
Br1 0.000 0.000 0.922
Br2 0.500 0.500 0.272
K1 0.000 0.000 0.493
Tc1 0.500 0.500 0.813

Summary:
Formation energy without anion corrections: 16 kJ/mol of atoms
Energy above the lowest structure with this stoichiometry: 1.45 eV per formula unit


2.
Below is a relaxed structure of Ac2AlZn6Pt, with properties calculated at the PBE level.

abc: 6.824 6.660 6.796
angles: 60.74 58.44 89.99
Positions (direct):
Ac1 0.689 0.312 0.375
Ac2 0.311 0.688 0.625
Al1 0.000 0.000 0.000
Zn1 0.119 0.331 0.494
Zn2 0.824 0.880 0.789
Zn3 0.332 0.825 0.055
Zn4 0.668 0.175 0.945
Zn5 0.176 0.120 0.211
Zn6 0.881 0.669 0.506
Pt1 0.500 0.500 0.000

Summary:
DFT formation energy: -0.3298 eV/atom


3.
Below is a relaxed structure of La8CuOs2, with properties calculated at the PBE level.

abc: 6.514 7.842 7.842
angles: 114.83 100.41 100.41
Positions (direct):
Os1 0.480 0.696 0.316
Os2 0.480 0.316 0.696
Cu1 0.180 0.006 0.006
La1 0.592 0.357 0.087
La2 0.592 0.087 0.357
La3 0.186 0.362 0.362
La4 0.987 0.208 0.783
La5 0.987 0.783 0.208
La6 0.780 0.646 0.646
La7 0.368 0.921 0.651
La8 0.368 0.651 0.921

Summary:
DFT formation energy: -0.0464 eV/atom


4.
Below is a relaxed structure of KLi2CuRh, with properties calculated at the PBE level.

abc: 4.763 5.647 4.763
angles: 90.00 90.00 90.00
Site moments in Bohr magnetons follow the coordinates.
Positions (direct):
K1 0.000 0.500 0.000  0.00
Rh1 0.500 0.500 0.500  0.95
Cu1 0.000 0.000 0.000  0.01
Li1 0.000 0.000 0.500  -0.01
Li2 0.500 0.000 0.000  -0.01

Summary:
DFT formation energy: 0.8204 eV/atom


5.
Below is a relaxed structure of SrCdP, with properties calculated at the PBE level.

abc: 5.057 5.057 5.057
angles: 60.00 60.00 60.00
Positions (direct):
Sr1 0.250 0.250 0.250
Cd1 0.000 0.000 0.000
P1 0.500 0.500 0.500

Summary:
Energy above the lowest structure with this stoichiometry: 1.43 eV per formula unit
DFT formation energy: -0.0989 eV/atom


| no. | total magnetization (μB/f.u.) | calculated density (g/cm³) | final energy (eV/atom) |
| --- | --- | --- | --- |
| 1 | 0.00 | 4.7 | -3.5329 |
| 2 | 0.00 | 8.2 | -2.8941 |
| 3 | 0.00 | 7.5 | -6.0441 |
| 4 | 0.96 | 2.8 | -2.4541 |
| 5 | 0.00 | 4.2 | -2.7679 |